(1)
This record from the Alexandria database describes a relaxed structure of FeAgPd2. The functional is PBE-GGA. Values from VASP.

Structure (Quantum ESPRESSO input):
```
&SYSTEM
  ibrav = 0, nat = 4, ntyp = 3
/
ATOMIC_SPECIES
Pd 106.42 Pd.upf
Ag 107.87 Ag.upf
Fe 55.84 Fe.upf
ATOMIC_POSITIONS crystal
Pd 0.000 0.000 0.500
Pd 0.000 0.500 0.000
Ag 0.500 0.000 0.000
Fe 0.500 0.500 0.500
CELL_PARAMETERS angstrom
-0.420 -2.279 -2.846
3.276 -2.123 1.217
-2.402 -2.401 2.277
```

Results
DFT formation energy	0.0359	eV/atom
total magnetization	3.855	μB per cell
ΔE to the lowest computed polymorph	0.098	eV per atom

(2)
This record from the Alexandria database describes a relaxed structure of FeAg2Pd. The functional is PBE-GGA. Values from VASP.

Structure (Quantum ESPRESSO input):
```
&SYSTEM
  ibrav = 0, nat = 8, ntyp = 3
/
ATOMIC_SPECIES
Pd 106.42 Pd.upf
Ag 107.87 Ag.upf
Fe 55.84 Fe.upf
ATOMIC_POSITIONS crystal
Pd 0.000 0.000 0.000
Pd 0.750 0.250 0.500
Ag 0.612 0.125 0.250
Ag 0.138 0.625 0.250
Ag 0.375 0.388 0.750
Ag 0.875 0.862 0.750
Fe 0.500 0.500 0.000
Fe 0.250 0.750 0.500
CELL_PARAMETERS angstrom
-2.755 -4.717 4.809
-4.555 -2.524 -5.084
-1.841 -5.424 -0.867
```

Results
DFT formation energy	0.5209	eV/atom
total magnetization	7.095	μB per cell
ΔE to the lowest computed polymorph	0.261	eV per atom